Entry 1:
The following is a PBE calculation of a geometry-optimized BaPrPb2 structure, from Alexandria via LeMat-Bulk.

Geometry as POSCAR:
```
BaPrPb2
1.0
5.4402 0.0000 0.0000
0.0000 5.4402 0.0000
0.0000 0.0000 4.6947
Ba Pr Pb
1 1 2
Direct
0.0000 0.0000 0.0000 Ba
0.5000 0.5000 0.0000 Pr
0.0000 0.5000 0.5000 Pb
0.5000 0.0000 0.5000 Pb
```

## Properties
The calculated volume comes out at 138.9 Å³ per cell. The density comes out at 8.28 Mg/m³. Its crystal system is tetragonal.

Entry 2:
The following is a PBE calculation of a geometry-optimized BaPrPb structure, from Alexandria via LeMat-Bulk.

Geometry as POSCAR:
```
BaPrPb
1.0
5.4649 0.0000 0.0000
-2.7324 4.7327 0.0000
0.0000 0.0000 4.8449
Ba Pr Pb
1 1 1
Direct
0.0000 0.0000 0.0000 Ba
0.3333 0.6667 0.4851 Pr
0.6667 0.3333 0.5357 Pb
```

## Properties
The calculated volume comes out at 125.3 Å³ per cell. The density comes out at 6.43 Mg/m³. Its crystal system is trigonal.

Entry 3:
The following is a PBE calculation of a geometry-optimized BaPrPb2 structure, from Alexandria via LeMat-Bulk.

Geometry as POSCAR:
```
BaPrPb2
1.0
4.2966 0.0000 0.0000
0.0000 4.2966 0.0000
0.0000 0.0000 7.7100
Ba Pr Pb
1 1 2
Direct
0.0000 0.0000 0.0000 Ba
0.0000 0.0000 0.5000 Pr
0.5000 0.5000 0.2911 Pb
0.5000 0.5000 0.7089 Pb
```

## Properties
The calculated volume comes out at 142.3 Å³ per cell. The density comes out at 8.08 Mg/m³. Its crystal system is tetragonal.

Entry 4:
The following is a PBE calculation of a geometry-optimized BaPr2Pb structure, from Alexandria via LeMat-Bulk.

Geometry as POSCAR:
```
BaPr2Pb
1.0
5.2492 0.0000 0.0000
0.0000 5.2492 0.0000
0.0000 0.0000 5.1034
Ba Pr Pb
1 2 1
Direct
0.0000 0.0000 0.0000 Ba
0.0000 0.5000 0.5000 Pr
0.5000 0.0000 0.5000 Pr
0.5000 0.5000 0.0000 Pb
```

## Properties
The calculated volume comes out at 140.6 Å³ per cell. The density comes out at 7.40 Mg/m³. The calculation puts the relative energy among the computed polymorphs at 0 kJ/mol of formula units. Its crystal system is tetragonal.

Entry 5:
The following is a PBE calculation of a geometry-optimized BaPr2Pb structure, from Alexandria via LeMat-Bulk.

Geometry as POSCAR:
```
BaPr2Pb
1.0
1.8774 1.0839 12.5607
-1.8774 1.0839 12.5607
0.0000 -2.1678 12.5607
Ba Pr Pb
1 2 1
Direct
0.0000 0.0000 0.0000 Ba
0.0967 0.0967 0.0967 Pr
0.9033 0.9033 0.9033 Pr
0.5000 0.5000 0.5000 Pb
```

## Properties
The calculated volume comes out at 153.4 Å³ per cell. The density comes out at 6.78 Mg/m³. The calculation puts the relative energy among the computed polymorphs at 92 kJ/mol of formula units. Its crystal system is trigonal.

Entry 6:
The following is a PBE calculation of a geometry-optimized BaPrPb structure, from Alexandria via LeMat-Bulk.

Geometry as POSCAR:
```
BaPrPb
1.0
5.1669 0.0000 0.0000
0.0000 5.1669 0.0000
0.0000 0.0000 9.1261
Ba Pr Pb
2 2 2
Direct
0.2500 0.2500 0.1441 Ba
0.7500 0.7500 0.8559 Ba
0.2500 0.7500 0.5000 Pr
0.7500 0.2500 0.5000 Pr
0.2500 0.2500 0.7413 Pb
0.7500 0.7500 0.2587 Pb
```

## Properties
The calculated volume comes out at 243.6 Å³ per cell. The density comes out at 6.62 Mg/m³. Its crystal system is tetragonal.

no.,E (eV for the cell shown)
1,-15.826
2,-11.261
3,-16.166
4,-15.965
5,-15.011
6,-23.583